Record 1
# GGA-PBE NaCdPbO2, relaxed
data_NaCdPbO2
_chemical_formula_sum 'Na1 Cd1 Pb1 O2'
_symmetry_space_group_name_H-M 'P 1'
_symmetry_Int_Tables_number 1
_cell_length_a 4.403
_cell_length_b 4.966
_cell_length_c 4.403
_cell_angle_alpha 90.00
_cell_angle_beta 90.00
_cell_angle_gamma 90.00
loop_
_symmetry_equiv_pos_as_xyz
'x,y,z'
loop_
_atom_site_label
_atom_site_fract_x
_atom_site_fract_y
_atom_site_fract_z
_atom_site_occupancy
Pb1 0.500 0.500 0.500 1
Na1 0.000 0.500 0.000 1
O1 0.000 0.000 0.500 1
O2 0.500 0.000 0.000 1
Cd1 0.000 0.000 0.000 1
# DOS at the Fermi energy in states/eV/cell: 2.51
# Uncorrected energy in eV/atom: -3.191
# SG: No. 123
# E_form (uncorrected) in eV per atom: -0.02


Record 2
# GGA-PBE NaCd2PbO4, relaxed
data_NaCd2PbO4
_chemical_formula_sum 'Na1 Cd2 Pb1 O4'
_symmetry_space_group_name_H-M 'P 1'
_symmetry_Int_Tables_number 1
_cell_length_a 4.869
_cell_length_b 4.869
_cell_length_c 5.845
_cell_angle_alpha 114.62
_cell_angle_beta 114.62
_cell_angle_gamma 90.00
loop_
_symmetry_equiv_pos_as_xyz
'x,y,z'
loop_
_atom_site_label
_atom_site_fract_x
_atom_site_fract_y
_atom_site_fract_z
_atom_site_occupancy
Na1 0.500 0.500 0.000 1
Cd1 0.250 0.750 0.500 1
Cd2 0.000 0.000 0.000 1
Pb1 0.750 0.250 0.500 1
O1 0.000 0.500 0.000 1
O2 0.500 0.000 0.000 1
O3 0.756 0.756 0.512 1
O4 0.244 0.244 0.488 1
# DOS at the Fermi energy in states/eV/cell: 1.90
# Uncorrected energy in eV/atom: -4.423
# SG: No. 119
# E_form (uncorrected) in eV per atom: -1.09


Record 3
# GGA-PBE NaCdPb4O8, relaxed
data_NaCdPb4O8
_chemical_formula_sum 'Na1 Cd1 Pb4 O8'
_symmetry_space_group_name_H-M 'P 1'
_symmetry_Int_Tables_number 1
_cell_length_a 6.901
_cell_length_b 6.901
_cell_length_c 6.930
_cell_angle_alpha 60.14
_cell_angle_beta 60.14
_cell_angle_gamma 60.00
loop_
_symmetry_equiv_pos_as_xyz
'x,y,z'
loop_
_atom_site_label
_atom_site_fract_x
_atom_site_fract_y
_atom_site_fract_z
_atom_site_occupancy
Na1 0.000 0.000 0.001 1
Cd1 0.383 0.383 0.850 1
Pb1 0.618 0.618 0.147 1
Pb2 0.000 0.498 0.502 1
Pb3 0.498 0.000 0.502 1
Pb4 0.000 0.000 0.502 1
O1 0.250 0.787 0.713 1
O2 0.787 0.250 0.713 1
O3 0.250 0.250 0.713 1
O4 0.242 0.242 0.274 1
O5 0.754 0.198 0.294 1
O6 0.198 0.754 0.294 1
O7 0.754 0.754 0.294 1
O8 0.765 0.765 0.704 1
# DOS at the Fermi energy in states/eV/cell: 3.20
# Uncorrected energy in eV/atom: -5.071
# SG: No. 160
# E_form (uncorrected) in eV per atom: -1.02


Record 4
# GGA-PBE Na3CdPb3O8, relaxed
data_Na3CdPb3O8
_chemical_formula_sum 'Na3 Cd1 Pb3 O8'
_symmetry_space_group_name_H-M 'P 1'
_symmetry_Int_Tables_number 1
_cell_length_a 6.829
_cell_length_b 6.829
_cell_length_c 6.898
_cell_angle_alpha 119.66
_cell_angle_beta 90.00
_cell_angle_gamma 120.00
loop_
_symmetry_equiv_pos_as_xyz
'x,y,z'
loop_
_atom_site_label
_atom_site_fract_x
_atom_site_fract_y
_atom_site_fract_z
_atom_site_occupancy
Na1 0.000 0.000 0.000 1
Na2 0.000 0.500 0.000 1
Na3 0.500 0.500 0.000 1
Cd1 0.000 0.000 0.500 1
Pb1 0.500 0.000 0.500 1
Pb2 0.500 0.500 0.500 1
Pb3 0.000 0.500 0.500 1
O1 0.257 0.515 0.272 1
O2 0.743 0.485 0.728 1
O3 0.760 0.521 0.296 1
O4 0.240 0.479 0.704 1
O5 0.761 0.036 0.296 1
O6 0.239 0.964 0.704 1
O7 0.275 0.036 0.296 1
O8 0.725 0.964 0.704 1
# DOS at the Fermi energy in states/eV/cell: 1.83
# Uncorrected energy in eV/atom: -4.833
# SG: No. 166
# E_form (uncorrected) in eV per atom: -1.12


Record 5
# GGA-PBE Na2CdPbO4, relaxed
data_Na2CdPbO4
_chemical_formula_sum 'Na2 Cd1 Pb1 O4'
_symmetry_space_group_name_H-M 'P 1'
_symmetry_Int_Tables_number 1
_cell_length_a 3.378
_cell_length_b 5.873
_cell_length_c 5.895
_cell_angle_alpha 109.34
_cell_angle_beta 90.00
_cell_angle_gamma 90.00
loop_
_symmetry_equiv_pos_as_xyz
'x,y,z'
loop_
_atom_site_label
_atom_site_fract_x
_atom_site_fract_y
_atom_site_fract_z
_atom_site_occupancy
Na1 0.500 0.000 0.500 1
Na2 0.000 0.500 0.500 1
Cd1 0.000 0.000 0.000 1
Pb1 0.500 0.500 0.000 1
O1 0.500 0.262 0.216 1
O2 0.500 0.738 0.784 1
O3 0.000 0.270 0.773 1
O4 0.000 0.730 0.227 1
# Uncorrected energy in eV/atom: -4.642
# SG: No. 10
# E_form (uncorrected) in eV per atom: -1.26


Record 6
# GGA-PBE Na3Cd2PdO6, relaxed
data_Na3Cd2PdO6
_chemical_formula_sum 'Na3 Cd2 Pd1 O6'
_symmetry_space_group_name_H-M 'P 1'
_symmetry_Int_Tables_number 1
_cell_length_a 5.736
_cell_length_b 5.736
_cell_length_c 5.746
_cell_angle_alpha 99.88
_cell_angle_beta 99.88
_cell_angle_gamma 119.84
loop_
_symmetry_equiv_pos_as_xyz
'x,y,z'
loop_
_atom_site_label
_atom_site_fract_x
_atom_site_fract_y
_atom_site_fract_z
_atom_site_occupancy
Na1 0.165 0.835 0.500 1
Na2 0.835 0.165 0.500 1
Na3 0.500 0.500 0.500 1
Cd1 0.332 0.668 0.000 1
Cd2 0.668 0.332 0.000 1
Pd1 0.000 0.000 0.000 1
O1 0.928 0.632 0.782 1
O2 0.775 0.775 0.208 1
O3 0.072 0.368 0.218 1
O4 0.632 0.928 0.782 1
O5 0.225 0.225 0.792 1
O6 0.368 0.072 0.218 1
# DOS at the Fermi energy in states/eV/cell: 9.74
# Uncorrected energy in eV/atom: -4.442
# SG: No. 12
# E_form (uncorrected) in eV per atom: -1.05


Record 7
# GGA-PBE Na6Cd2PdO, relaxed
data_Na6Cd2PdO
_chemical_formula_sum 'Na6 Cd2 Pd1 O1'
_symmetry_space_group_name_H-M 'P 1'
_symmetry_Int_Tables_number 1
_cell_length_a 6.918
_cell_length_b 7.290
_cell_length_c 8.446
_cell_angle_alpha 128.67
_cell_angle_beta 124.92
_cell_angle_gamma 83.72
loop_
_symmetry_equiv_pos_as_xyz
'x,y,z'
loop_
_atom_site_label
_atom_site_fract_x
_atom_site_fract_y
_atom_site_fract_z
_atom_site_occupancy
Na1 0.818 0.689 0.926 1
Na2 0.688 0.826 0.580 1
Na3 0.198 0.295 0.053 1
Na4 0.755 0.211 0.089 1
Na5 0.297 0.193 0.442 1
Na6 0.205 0.751 0.872 1
Cd1 0.806 0.125 0.451 1
Cd2 0.126 0.806 0.479 1
Pd1 0.600 0.600 0.098 1
O1 0.007 0.007 0.007 1
# DOS at the Fermi energy in states/eV/cell: 2.93
# Uncorrected energy in eV/atom: -2.368
# SG: No. 1
# E_form (uncorrected) in eV per atom: -0.38


Record 8
# GGA-PBE Na3CdPd3O8, relaxed
data_Na3CdPd3O8
_chemical_formula_sum 'Na3 Cd1 Pd3 O8'
_symmetry_space_group_name_H-M 'P 1'
_symmetry_Int_Tables_number 1
_cell_length_a 6.277
_cell_length_b 6.515
_cell_length_c 6.402
_cell_angle_alpha 118.35
_cell_angle_beta 90.00
_cell_angle_gamma 118.80
loop_
_symmetry_equiv_pos_as_xyz
'x,y,z'
loop_
_atom_site_label
_atom_site_fract_x
_atom_site_fract_y
_atom_site_fract_z
_atom_site_occupancy
Na1 0.000 0.000 0.000 1
Na2 0.000 0.500 0.000 1
Na3 0.500 0.500 0.000 1
Cd1 0.000 0.000 0.500 1
Pd1 0.500 0.000 0.500 1
Pd2 0.500 0.500 0.500 1
Pd3 0.000 0.500 0.500 1
O1 0.245 0.490 0.285 1
O2 0.755 0.510 0.715 1
O3 0.756 0.513 0.296 1
O4 0.244 0.487 0.704 1
O5 0.764 0.072 0.310 1
O6 0.236 0.928 0.690 1
O7 0.308 0.072 0.310 1
O8 0.692 0.928 0.690 1
# DOS at the Fermi energy in states/eV/cell: 2.60
# Uncorrected energy in eV/atom: -4.814
# SG: No. 12
# E_form (uncorrected) in eV per atom: -0.81


Record 9
# GGA-PBE Na4CdPd3O8, relaxed
data_Na4CdPd3O8
_chemical_formula_sum 'Na4 Cd1 Pd3 O8'
_symmetry_space_group_name_H-M 'P 1'
_symmetry_Int_Tables_number 1
_cell_length_a 6.593
_cell_length_b 6.588
_cell_length_c 6.523
_cell_angle_alpha 120.91
_cell_angle_beta 120.36
_cell_angle_gamma 90.00
loop_
_symmetry_equiv_pos_as_xyz
'x,y,z'
loop_
_atom_site_label
_atom_site_fract_x
_atom_site_fract_y
_atom_site_fract_z
_atom_site_occupancy
Na1 0.500 0.000 0.000 1
Na2 0.500 0.000 0.500 1
Na3 0.000 0.000 0.000 1
Na4 0.000 0.000 0.500 1
Cd1 0.000 0.500 0.000 1
Pd1 0.500 0.500 0.000 1
Pd2 0.500 0.500 0.500 1
Pd3 0.000 0.500 0.500 1
O1 0.256 0.701 0.960 1
O2 0.248 0.690 0.496 1
O3 0.272 0.266 0.544 1
O4 0.704 0.701 0.960 1
O5 0.296 0.299 0.040 1
O6 0.728 0.734 0.456 1
O7 0.752 0.310 0.504 1
O8 0.744 0.299 0.040 1
# DOS at the Fermi energy in states/eV/cell: 1.11
# Uncorrected energy in eV/atom: -4.778
# SG: No. 12
# E_form (uncorrected) in eV per atom: -0.94


Record 10
# GGA-PBE Na4Pm3CdO8, relaxed
data_Na4Pm3CdO8
_chemical_formula_sum 'Na4 Pm3 Cd1 O8'
_symmetry_space_group_name_H-M 'P 1'
_symmetry_Int_Tables_number 1
_cell_length_a 7.010
_cell_length_b 6.945
_cell_length_c 7.012
_cell_angle_alpha 120.31
_cell_angle_beta 119.99
_cell_angle_gamma 90.00
loop_
_symmetry_equiv_pos_as_xyz
'x,y,z'
loop_
_atom_site_label
_atom_site_fract_x
_atom_site_fract_y
_atom_site_fract_z
_atom_site_occupancy
Na1 0.500 0.000 0.000 1
Na2 0.500 0.000 0.500 1
Na3 0.000 0.000 0.000 1
Na4 0.000 0.000 0.500 1
Pm1 0.500 0.500 0.000 1
Pm2 0.500 0.500 0.500 1
Pm3 0.000 0.500 0.500 1
Cd1 0.000 0.500 0.000 1
O1 0.243 0.724 0.981 1
O2 0.243 0.725 0.487 1
O3 0.262 0.285 0.524 1
O4 0.739 0.724 0.981 1
O5 0.261 0.276 0.019 1
O6 0.738 0.715 0.476 1
O7 0.757 0.275 0.513 1
O8 0.757 0.276 0.019 1
# DOS at the Fermi energy in states/eV/cell: 14.71
# Uncorrected energy in eV/atom: -5.966
# SG: No. 166
# E_form (uncorrected) in eV per atom: -2.21


no.,total moment (μB/f.u.)
1,0.000
2,0.000
3,0.000
4,0.000
5,0.000
6,1.040
7,0.000
8,0.944
9,2.003
10,1.231